Density functional theory data (PBE-GGA) for NdSmTe6 after structural relaxation.

Summary:
**Raw total energy**: -72.3 eV per cell

Unit cell a=4.383 b=4.382 c=27.269 alpha=90.00 beta=90.00 gamma=90.00
Space group Amm2 (No. 38)
Symmetry-distinct sites (fractional):
Nd 0.000 0.000 0.000 x2
Sm 0.500 0.000 0.656 x2
Te 0.000 0.000 0.121 x2
Te 0.000 0.000 0.405 x2
Te 0.000 0.000 0.750 x2
Te 0.500 0.000 0.250 x2
Te 0.500 0.000 0.536 x2
Te 0.500 0.000 0.905 x2